# Ti2AlPd2, optimized geometry, DFT GGA-PBE
# * ΔE_f: -0.31 eV/atom
# * uncorrected energy: -6.295 eV/atom
data_Ti2AlPd2
_chemical_formula_sum 'Ti4 Al2 Pd4'
_space_group_name_H-M_alt 'P 4/m b m'
_space_group_IT_number 127
_space_group_name_Hall '-P 4 2ab'
_cell_length_a 7.604
_cell_length_b 7.604
_cell_length_c 2.901
_cell_angle_alpha 90.00
_cell_angle_beta 90.00
_cell_angle_gamma 90.00
loop_
_atom_site_label
_atom_site_type_symbol
_atom_site_fract_x
_atom_site_fract_y
_atom_site_fract_z
Ti1 Ti 0.162 0.338 0.000
Al1 Al 0.000 0.000 0.000
Pd1 Pd 0.133 0.633 0.500



# Ti2AlPd2, optimized geometry, DFT GGA-PBE
# * ΔE_f: -0.09 eV/atom
# * uncorrected energy: -6.073 eV/atom
data_Ti2AlPd2
_chemical_formula_sum 'Ti4 Al2 Pd4'
_space_group_name_H-M_alt 'I 4/m m m'
_space_group_IT_number 139
_space_group_name_Hall '-I 4 2'
_cell_length_a 3.788
_cell_length_b 3.788
_cell_length_c 12.357
_cell_angle_alpha 90.00
_cell_angle_beta 90.00
_cell_angle_gamma 90.00
loop_
_atom_site_label
_atom_site_type_symbol
_atom_site_fract_x
_atom_site_fract_y
_atom_site_fract_z
Ti1 Ti 0.000 0.000 0.101
Al1 Al 0.000 0.000 0.500
Pd1 Pd 0.000 0.500 0.250



# Ti4Al3Pd, optimized geometry, DFT GGA-PBE
# * energy relative to the lowest polymorph listed for this composition: 163 meV per atom
# * ΔE_f: -0.22 eV/atom
# * uncorrected energy: -6.218 eV/atom
data_Ti4Al3Pd
_chemical_formula_sum 'Ti8 Al6 Pd2'
_space_group_name_H-M_alt 'C 1 2/m 1'
_space_group_IT_number 12
_space_group_name_Hall '-C 2y'
_cell_length_a 24.158
_cell_length_b 2.820
_cell_length_c 4.062
_cell_angle_alpha 90.00
_cell_angle_beta 90.98
_cell_angle_gamma 90.00
loop_
_atom_site_label
_atom_site_type_symbol
_atom_site_fract_x
_atom_site_fract_y
_atom_site_fract_z
Ti1 Ti 0.102 0.000 0.238
Ti2 Ti 0.218 0.000 0.246
Al1 Al 0.000 0.500 0.500
Al2 Al 0.161 0.500 0.740
Pd1 Pd 0.000 0.000 0.000



# Ti5AlPd4, optimized geometry, DFT GGA-PBE
# * ΔE_f: -0.45 eV/atom
# * uncorrected energy: -6.852 eV/atom
data_Ti5AlPd4
_chemical_formula_sum 'Ti5 Al1 Pd4'
_space_group_name_H-M_alt 'P 4/m m m'
_space_group_IT_number 123
_space_group_name_Hall '-P 4 2'
_cell_length_a 3.361
_cell_length_b 3.361
_cell_length_c 14.129
_cell_angle_alpha 90.00
_cell_angle_beta 90.00
_cell_angle_gamma 90.00
loop_
_atom_site_label
_atom_site_type_symbol
_atom_site_fract_x
_atom_site_fract_y
_atom_site_fract_z
Ti1 Ti 0.000 0.000 0.000
Ti2 Ti 0.000 0.000 0.196
Ti3 Ti 0.000 0.000 0.397
Al1 Al 0.500 0.500 0.500
Pd1 Pd 0.500 0.500 0.100
Pd2 Pd 0.500 0.500 0.303



# Ti5Al2Pd2, optimized geometry, DFT GGA-PBE
# * ΔE_f: -0.26 eV/atom
# * uncorrected energy: -6.632 eV/atom
data_Ti5Al2Pd2
_chemical_formula_sum 'Ti20 Al8 Pd8'
_space_group_name_H-M_alt 'I m a 2'
_space_group_IT_number 46
_space_group_name_Hall 'I 2 -2a'
_cell_length_a 16.707
_cell_length_b 4.543
_cell_length_c 7.872
_cell_angle_alpha 90.00
_cell_angle_beta 90.00
_cell_angle_gamma 90.00
loop_
_atom_site_label
_atom_site_type_symbol
_atom_site_fract_x
_atom_site_fract_y
_atom_site_fract_z
Ti1 Ti 0.095 0.001 0.000
Ti2 Ti 0.163 0.000 0.666
Ti3 Ti 0.250 0.000 0.333
Al1 Al 0.080 0.501 0.833
Pd1 Pd 0.000 0.000 0.667
Pd2 Pd 0.250 0.000 0.000



# TiAlPd2W, optimized geometry, DFT GGA-PBE
# * ΔE_f: 1.01 eV/atom
# * uncorrected energy: -5.983 eV/atom
data_TiAlPd2W
_chemical_formula_sum 'Ti1 Al1 Pd2 W1'
_space_group_name_H-M_alt 'P 4/m m m'
_space_group_IT_number 123
_space_group_name_Hall '-P 4 2'
_cell_length_a 4.880
_cell_length_b 4.880
_cell_length_c 4.583
_cell_angle_alpha 90.00
_cell_angle_beta 90.00
_cell_angle_gamma 90.00
loop_
_atom_site_label
_atom_site_type_symbol
_atom_site_fract_x
_atom_site_fract_y
_atom_site_fract_z
Ti1 Ti 0.000 0.000 0.000
Al1 Al 0.500 0.500 0.000
Pd1 Pd 0.000 0.500 0.500
W1 W 0.000 0.000 0.500



# Y2TiAlPd, optimized geometry, DFT GGA-PBE
# * ΔE_f: 0.11 eV/atom
# * uncorrected energy: -5.839 eV/atom
data_Y2TiAlPd
_chemical_formula_sum 'Y2 Ti1 Al1 Pd1'
_space_group_name_H-M_alt 'P 4/m m m'
_space_group_IT_number 123
_space_group_name_Hall '-P 4 2'
_cell_length_a 5.426
_cell_length_b 5.426
_cell_length_c 4.700
_cell_angle_alpha 90.00
_cell_angle_beta 90.00
_cell_angle_gamma 90.00
loop_
_atom_site_label
_atom_site_type_symbol
_atom_site_fract_x
_atom_site_fract_y
_atom_site_fract_z
Y1 Y 0.000 0.500 0.000
Ti1 Ti 0.000 0.000 0.500
Al1 Al 0.500 0.500 0.500
Pd1 Pd 0.000 0.000 0.000



# TiAlZnPd2, optimized geometry, DFT GGA-PBE
# * ΔE_f: 0.67 eV/atom
# * uncorrected energy: -3.985 eV/atom
data_TiAlZnPd2
_chemical_formula_sum 'Ti1 Al1 Zn1 Pd2'
_space_group_name_H-M_alt 'P 4/m m m'
_space_group_IT_number 123
_space_group_name_Hall '-P 4 2'
_cell_length_a 4.640
_cell_length_b 4.640
_cell_length_c 4.995
_cell_angle_alpha 90.00
_cell_angle_beta 90.00
_cell_angle_gamma 90.00
loop_
_atom_site_label
_atom_site_type_symbol
_atom_site_fract_x
_atom_site_fract_y
_atom_site_fract_z
Ti1 Ti 0.000 0.000 0.000
Al1 Al 0.000 0.000 0.500
Zn1 Zn 0.500 0.500 0.500
Pd1 Pd 0.000 0.500 0.000